Here is an optimized crystal structure of CuSiS2 from Alexandria via LeMat-Bulk. Energies are from GGA-PBEsol.

Unit cell a=5.008 b=5.008 c=11.586 alpha=90.00 beta=90.00 gamma=90.00
Space group I-42d (No. 122)
Inequivalent atoms, fractional coordinates:
Cu 0.000 0.000 0.000 (multiplicity 4)
Si 0.000 0.000 0.500 (multiplicity 4)
S 0.247 0.250 0.625 (multiplicity 8)

Values from the calculation:
* crystal system: tetragonal
* DFT total energy: -19.57 eV per formula unit
* formation energy from raw total energies: -0.179 eV/atom
* theoretical density: 3.6 Mg/m³